# Ba5Pt2Au2 (PBE-GGA, relaxed)
# Calculated formation energy in meV/atom: -692
data_Ba5Pt2Au2
_chemical_formula_sum 'Ba20 Pt8 Au8'
_cell_length_a 16.773
_cell_length_b 8.680
_cell_length_c 8.634
_cell_angle_alpha 90.00
_cell_angle_beta 90.00
_cell_angle_gamma 90.00
_space_group_name_H-M_alt 'C m c e'
_space_group_IT_number 64
_space_group_name_Hall '-C 2ac 2'
loop_
_atom_site_label
_atom_site_type_symbol
_atom_site_fract_x
_atom_site_fract_y
_atom_site_fract_z
_atom_site_occupancy
Ba1 Ba 0.000 0.000 0.000 1
Ba2 Ba 0.132 0.168 0.336 1
Pt1 Pt 0.000 0.124 0.624 1
Au1 Au 0.202 0.000 0.000 1

***

# BaPtAu2 (PBE-GGA, relaxed)
# Calculated formation energy in meV/atom: -183
data_BaPtAu2
_chemical_formula_sum 'Ba2 Pt2 Au4'
_cell_length_a 6.364
_cell_length_b 6.550
_cell_length_c 4.436
_cell_angle_alpha 90.00
_cell_angle_beta 90.00
_cell_angle_gamma 90.00
_space_group_name_H-M_alt 'C m m m'
_space_group_IT_number 65
_space_group_name_Hall '-C 2 2'
loop_
_atom_site_label
_atom_site_type_symbol
_atom_site_fract_x
_atom_site_fract_y
_atom_site_fract_z
_atom_site_occupancy
Ba1 Ba 0.000 0.000 0.000 1
Pt1 Pt 0.000 0.500 0.000 1
Au1 Au 0.250 0.250 0.500 1

***

# Ba3PtAu3 (PBE-GGA, relaxed)
# Calculated formation energy in meV/atom: -715
data_Ba3PtAu3
_chemical_formula_sum 'Ba12 Pt4 Au12'
_cell_length_a 12.106
_cell_length_b 4.562
_cell_length_c 17.255
_cell_angle_alpha 90.00
_cell_angle_beta 109.65
_cell_angle_gamma 90.00
_space_group_name_H-M_alt 'C 1 2/m 1'
_space_group_IT_number 12
loop_
_space_group_symop_operation_xyz
'x,y,z'
'-x,-y,-z'
'-x,y,-z'
'x,-y,z'
'x+1/2,y+1/2,z'
'-x+1/2,-y+1/2,-z'
'-x+1/2,y+1/2,-z'
'x+1/2,-y+1/2,z'
loop_
_atom_site_label
_atom_site_type_symbol
_atom_site_fract_x
_atom_site_fract_y
_atom_site_fract_z
_atom_site_occupancy
Ba1 Ba 0.027 0.000 0.265 1
Ba2 Ba 0.174 0.000 0.580 1
Ba3 Ba 0.177 0.500 0.092 1
Pt1 Pt 0.105 0.500 0.866 1
Au1 Au 0.044 0.500 0.426 1
Au2 Au 0.053 0.000 0.940 1
Au3 Au 0.188 0.500 0.734 1

***

# Ba2PtAu (PBE-GGA, relaxed)
# Calculated formation energy in meV/atom: -618
data_Ba2PtAu
_chemical_formula_sum 'Ba6 Pt3 Au3'
_cell_length_a 4.8020
_cell_length_b 4.8020
_cell_length_c 24.3915
_cell_angle_alpha 90.00
_cell_angle_beta 90.00
_cell_angle_gamma 120.00
_space_group_name_H-M_alt 'R 3 m'
_space_group_IT_number 160
_space_group_name_Hall 'R 3 -2"'
loop_
_atom_site_label
_atom_site_type_symbol
_atom_site_fract_x
_atom_site_fract_y
_atom_site_fract_z
_atom_site_occupancy
Ba1 Ba 0.0000 0.0000 0.0000 1
Ba2 Ba 0.0000 0.0000 0.1595 1
Pt1 Pt 0.0000 0.0000 0.4126 1
Au1 Au 0.0000 0.0000 0.7468 1

***

# Ba6PtRhAu (PBE-GGA, relaxed)
# Calculated formation energy in meV/atom: -452
data_Ba6PtRhAu
_chemical_formula_sum 'Ba12 Pt2 Rh2 Au2'
_cell_length_a 7.9047
_cell_length_b 7.9047
_cell_length_c 15.1403
_cell_angle_alpha 90.00
_cell_angle_beta 90.00
_cell_angle_gamma 120.00
_space_group_name_H-M_alt 'P -3 1 c'
_space_group_IT_number 163
_space_group_name_Hall '-P 3 2c'
loop_
_atom_site_label
_atom_site_type_symbol
_atom_site_fract_x
_atom_site_fract_y
_atom_site_fract_z
_atom_site_occupancy
Ba1 Ba 0.0058 0.3462 0.1339 1
Pt1 Pt 0.3333 0.6667 0.7500 1
Rh1 Rh 0.3333 0.6667 0.2500 1
Au1 Au 0.0000 0.0000 0.0000 1

***

# Ba8PtRhAu2 (PBE-GGA, relaxed)
# Calculated formation energy in meV/atom: -482
data_Ba8PtRhAu2
_chemical_formula_sum 'Ba8 Pt1 Rh1 Au2'
_cell_length_a 7.572
_cell_length_b 9.461
_cell_length_c 7.766
_cell_angle_alpha 90.00
_cell_angle_beta 90.46
_cell_angle_gamma 90.00
_space_group_name_H-M_alt 'P 1 2/m 1'
_space_group_IT_number 10
loop_
_space_group_symop_operation_xyz
'x,y,z'
'-x,-y,-z'
'-x,y,-z'
'x,-y,z'
loop_
_atom_site_label
_atom_site_type_symbol
_atom_site_fract_x
_atom_site_fract_y
_atom_site_fract_z
_atom_site_occupancy
Ba1 Ba 0.217 0.246 0.332 1
Ba2 Ba 0.258 0.000 0.811 1
Ba3 Ba 0.265 0.500 0.816 1
Pt1 Pt 0.000 0.500 0.500 1
Rh1 Rh 0.000 0.000 0.500 1
Au1 Au 0.500 0.248 0.000 1

***

Q: Number 3 is which compound?
A: Ba3PtAu3

***

Q: Which value of calculated formation energy does entry 5 give?
A: -452 meV/atom